Computed, not measured: crystalline Zn6CuRu at its relaxed geometry at the PBE level of DFT.

Total magnetization in μB per formula unit: 0.17
N(E_F) in states/eV per atom: 0.654
Raw total energy in eV per cell: -55.604
Distance to the lowest polymorph of the same formula in meV/atom: 374.8
DFT formation energy in kJ/mol of atoms: 29.92

Cell lengths 6.8405, 6.8405, 9.7009 Å; angles 90.00, 90.00, 120.00 degrees
Space group R-3m (No. 166, hexagonal axes)
Asymmetric unit:
Zn 0.0816 0.5408 0.3829
Cu 0.0000 0.0000 0.0000
Ru 0.0000 0.0000 0.5000